PBE LaTlAg, optimized geometry; ρ = 7.7 g/cm³; SG = No. 216; energy = -3.273 eV per atom
1.0
0.000 3.648 3.648
3.648 0.000 3.648
3.648 3.648 0.000
Ag Tl La
1 1 1
direct
0.250 0.250 0.250
0.750 0.750 0.750
0.000 0.000 0.000